MgGa2B: optimized geometry, PBE-GGA.

Cell and atoms, written as CIF:
```
data_MgGa2B
_chemical_formula_sum 'Mg4 Ga8 B4'
_cell_length_a 6.0501
_cell_length_b 6.0501
_cell_length_c 9.0807
_cell_angle_alpha 90.00
_cell_angle_beta 90.00
_cell_angle_gamma 90.00
_symmetry_space_group_name_H-M 'I -4 2 d'
_symmetry_Int_Tables_number 122
_symmetry_space_group_name_Hall 'I -4 2bw'
loop_
_atom_site_label
_atom_site_fract_x
_atom_site_fract_y
_atom_site_fract_z
Mg1 0.0000 0.0000 0.0000
Ga1 0.1254 0.2500 0.6250
B1 0.0000 0.0000 0.5000
```

Properties
DFT formation energy: 10.06 kcal/mol of atoms
energy: -3.1453 eV per atom
DOS(E_F): 0.553 states/eV per atom
volume: 20.775 A^3/atom
E above lowest polymorph: 0.0 meV per atom
crystal system: tetragonal